# 1
DFT (GGA-PBE) results for a relaxed Sm3TmS6 crystal.

Lattice parameters (Å, degrees): 8.1381 8.1381 8.1381 91.36 91.36 91.36
Closest atoms and distances in Å follow each position.
Positions (direct):
Sm: 0.4319 0.9235 0.7514  6 S 2.78-2.86
Sm: 0.9235 0.7514 0.4319  6 S 2.78-2.86
Sm: 0.2486 0.5681 0.0765  6 S 2.78-2.86
Sm: 0.7514 0.4319 0.9235  6 S 2.78-2.86
Sm: 0.0765 0.2486 0.5681  6 S 2.78-2.86
Sm: 0.5681 0.0765 0.2486  6 S 2.78-2.86
Tm: 0.0000 0.0000 0.0000  6 S 2.71
Tm: 0.5000 0.5000 0.5000  6 S 2.66
S: 0.3103 0.9130 0.0786  1 Tm 2.71, 3 Sm 2.78-2.86
S: 0.0870 0.9214 0.6897  1 Tm 2.71, 3 Sm 2.78-2.86
S: 0.5905 0.8131 0.4614  1 Tm 2.66, 3 Sm 2.78-2.85
S: 0.9214 0.6897 0.0870  1 Tm 2.71, 3 Sm 2.78-2.86
S: 0.4614 0.5905 0.8131  1 Tm 2.66, 3 Sm 2.78-2.85
S: 0.1869 0.5386 0.4095  1 Tm 2.66, 3 Sm 2.78-2.85
S: 0.8131 0.4614 0.5905  1 Tm 2.66, 3 Sm 2.78-2.85
S: 0.5386 0.4095 0.1869  1 Tm 2.66, 3 Sm 2.78-2.85
S: 0.0786 0.3103 0.9130  1 Tm 2.71, 3 Sm 2.78-2.86
S: 0.4095 0.1869 0.5386  1 Tm 2.66, 3 Sm 2.78-2.85
S: 0.9130 0.0786 0.3103  1 Tm 2.71, 3 Sm 2.78-2.86
S: 0.6897 0.0870 0.9214  1 Tm 2.71, 3 Sm 2.78-2.86

Calculated values
- crystal system = trigonal
- formation energy (no corrections) (eV/atom) = -2.0647
- calculated volume (Å³/cell) = 538.5
- offset from the most stable computed form (kJ per mole of atoms) = 0.0
- SG = No. 148

=====

# 2
DFT (GGA-PBE) results for a relaxed Sm2TmS4 crystal.

Lattice parameters (Å, degrees): 7.2753 7.2753 7.2753 110.16 110.16 108.11
Closest atoms and distances in Å follow each position.
Positions (direct):
Sm: 0.9863 0.6250 0.8613  8 S 2.82-3.08
Sm: 0.7637 0.1250 0.1387  8 S 2.82-3.08
Sm: 0.8750 0.0137 0.6387  8 S 2.82-3.08
Sm: 0.3750 0.2363 0.3613  8 S 2.82-3.08
Tm: 0.5000 0.5000 0.0000  8 S 2.73-3.04
Tm: 0.2500 0.7500 0.5000  8 S 2.73-3.04
S: 0.1297 0.3854 0.1128  2 Tm 2.73-3.04, 3 Sm 2.82-2.95
S: 0.1354 0.3797 0.6128  2 Tm 2.73-3.04, 3 Sm 2.82-2.95
S: 0.7669 0.5226 0.3872  2 Tm 2.73-3.04, 3 Sm 2.82-2.95
S: 0.6146 0.7274 0.7443  2 Tm 2.73-3.04, 3 Sm 2.82-2.95
S: 0.2726 0.0169 0.8872  2 Tm 2.73-3.04, 3 Sm 2.82-2.95
S: 0.4774 0.8646 0.2443  2 Tm 2.73-3.04, 3 Sm 2.82-2.95
S: 0.9831 0.8703 0.2557  2 Tm 2.73-3.04, 3 Sm 2.82-2.95
S: 0.6203 0.2331 0.7557  2 Tm 2.73-3.04, 3 Sm 2.82-2.95

Calculated values
- crystal system = tetragonal
- formation energy (no corrections) (eV/atom) = -1.9853
- calculated volume (Å³/cell) = 296.3
- offset from the most stable computed form (kJ per mole of atoms) = 4.1
- SG = No. 122

=====

- Number 1 is which compound?
  Sm3TmS6